[1]
! Cu2Pd6Au3, optimized geometry, DFT PBE; values from VASP
! DOS at the Fermi energy: 8.03 states/eV per cell
! Formation energy from the elements: 27 meV/atom
! SG: P-1, No. 2
&SYSTEM
  ibrav = 0, nat = 11, ntyp = 3
/
ATOMIC_SPECIES
Cu 63.55 Cu.upf
Pd 106.42 Pd.upf
Au 196.97 Au.upf
ATOMIC_POSITIONS angstrom
Cu 2.219 2.468 2.306
Cu 7.148 3.806 4.224
Pd 3.231 4.908 2.154
Pd 4.320 3.569 4.475
Pd 6.062 5.081 6.149
Pd 3.304 1.192 0.381
Pd 5.046 2.705 2.055
Pd 6.135 1.365 4.376
Au 2.519 2.467 6.313
Au 3.661 0.622 3.265
Au 6.847 3.806 0.217
CELL_PARAMETERS angstrom
5.401 0.000 0.000
2.045 5.029 0.000
1.920 1.245 6.530

[2]
! BaY2Tl, optimized geometry, DFT PBE; values from VASP
! DOS at the Fermi energy: 5.76 states/eV per cell
! Formation energy from the elements: 6 meV/atom
! SG: P2/m, No. 10
&SYSTEM
  ibrav = 0, nat = 4, ntyp = 3
/
ATOMIC_SPECIES
Ba 137.33 Ba.upf
Y 88.91 Y.upf
Tl 204.38 Tl.upf
ATOMIC_POSITIONS angstrom
Ba 0.000 0.000 0.000
Y 0.112 2.731 4.824
Y 2.061 2.731 1.961
Tl 1.087 0.000 3.392
CELL_PARAMETERS angstrom
3.826 0.000 0.000
0.000 5.461 0.000
-1.653 0.000 6.785

[3]
! GeBiPCl2, optimized geometry, DFT PBE; values from VASP
! Energy relative to the elements, uncorrected: 0.080 eV per atom
! DOS at the Fermi energy: 2.29 states/eV per cell
! SG: P4/mmm, No. 123
&SYSTEM
  ibrav = 0, nat = 5, ntyp = 4
/
ATOMIC_SPECIES
Ge 72.64 Ge.upf
Bi 208.98 Bi.upf
P 30.97 P.upf
Cl 35.45 Cl.upf
ATOMIC_POSITIONS angstrom
Ge 0.000 0.000 0.000
Bi 2.419 2.419 2.589
P 0.000 0.000 2.589
Cl 0.000 2.419 0.000
Cl 2.419 0.000 0.000
CELL_PARAMETERS angstrom
4.839 0.000 0.000
0.000 4.839 0.000
0.000 0.000 5.177

[4]
! Ce6SiSn, optimized geometry, DFT PBE; values from VASP
! Energy relative to the elements, uncorrected: -0.375 eV per atom
! DOS at the Fermi energy: 22.02 states/eV per cell
! SG: P4/mmm, No. 123
&SYSTEM
  ibrav = 0, nat = 8, ntyp = 3
/
ATOMIC_SPECIES
Ce 140.12 Ce.upf
Si 28.09 Si.upf
Sn 118.71 Sn.upf
ATOMIC_POSITIONS angstrom
Ce 0.000 0.000 0.000
Ce 0.000 0.000 4.668
Ce 0.000 2.340 2.193
Ce 0.000 2.340 7.144
Ce 2.340 0.000 2.193
Ce 2.340 0.000 7.144
Si 2.340 2.340 0.000
Sn 2.340 2.340 4.668
CELL_PARAMETERS angstrom
4.680 0.000 0.000
0.000 4.680 0.000
0.000 0.000 9.337

[5]
! Na17Cd11Ag, optimized geometry, DFT PBE; values from VASP
! DOS at the Fermi energy: 16.67 states/eV per cell
! Formation energy from the elements: -78 meV/atom
! SG: Cm, No. 8
&SYSTEM
  ibrav = 0, nat = 29, ntyp = 3
/
ATOMIC_SPECIES
Na 22.99 Na.upf
Cd 112.41 Cd.upf
Ag 107.87 Ag.upf
ATOMIC_POSITIONS angstrom
Na 0.000 0.000 0.000
Na -1.565 3.383 5.676
Na 3.797 5.405 0.009
Na -3.726 0.000 5.390
Na 1.656 2.598 4.868
Na -0.497 0.000 5.961
Na 4.236 3.369 2.582
Na 2.081 0.000 2.859
Na -1.565 -3.383 5.676
Na 0.638 2.280 8.263
Na 1.656 -2.598 4.868
Na 5.353 0.000 2.273
Na 3.797 -5.405 0.009
Na 0.638 -2.280 8.263
Na 7.480 2.546 3.335
Na 4.236 -3.369 2.582
Na 7.480 -2.546 3.335
Cd 1.065 2.998 1.516
Cd 1.086 5.270 6.739
Cd 4.771 6.760 2.968
Cd -2.571 1.479 8.271
Cd 1.065 -2.998 1.516
Cd -2.571 -1.479 8.271
Cd 4.811 1.514 5.256
Cd 2.692 0.000 6.848
Cd 1.086 -5.270 6.739
Cd 4.811 -1.514 5.256
Cd 4.771 -6.760 2.968
Ag 8.538 0.000 1.443
CELL_PARAMETERS angstrom
5.803 -8.260 0.000
5.803 8.260 0.000
-5.759 0.000 8.281

Q: Look up the DOS at the Fermi energy of the fourth one.
A: 22.02 states/eV per cell

Q: Which formula does entry 5 have?
A: Na17Cd11Ag

Q: Which value of DOS at the Fermi energy does entry 4 give?
A: 22.02 states/eV per cell

Q: Number 5 is which compound?
A: Na17Cd11Ag